(1)
Computed, not measured: an optimized crystal structure of SiAg3S4 at the PBE-GGA level of DFT.

The energy comes out at -4.082 eV/atom.

The structure belongs to space group I-42m (No. 121); the cell edges are 5.628, 5.628 and 11.200 Å and the angles 90.00°, 90.00° and 90.00°. The asymmetric unit holds Si at (0.000, 0.000, 0.000), Ag at (0.000, 0.000, 0.500), Ag at (0.000, 0.500, 0.250) and S at (0.220, 0.220, 0.889).


(2)
Computed, not measured: an optimized crystal structure of ZrI3 at the PBE-GGA level of DFT.

The total moment is 0.00 μB/f.u. The energy comes out at -4.070 eV/atom.

The structure belongs to space group P2_1/c (No. 14); the cell edges are 9.631, 6.788 and 13.489 Å and the angles 90.00°, 110.27° and 90.00°. The asymmetric unit holds Zr at (0.174, 0.001, 0.043), I at (0.000, 0.244, 0.122), I at (0.320, 0.250, 0.454) and I at (0.321, 0.746, 0.705).


(3)
Computed, not measured: an optimized crystal structure of SrPr2Hg3 at the PBE-GGA level of DFT.

The total moment is 0.51 μB/f.u. The energy comes out at -2.519 eV/atom.

The structure belongs to space group P4/mmm (No. 123); the cell edges are 3.868, 3.868 and 11.845 Å and the angles 90.00°, 90.00° and 90.00°. The asymmetric unit holds Sr at (0.000, 0.000, 0.000), Pr at (0.000, 0.000, 0.338), Hg at (0.500, 0.500, 0.180) and Hg at (0.500, 0.500, 0.500).


(4)
Computed, not measured: an optimized crystal structure of Pr2Sc2CI3Br2 at the PBE-GGA level of DFT.

The total moment is 0.12 μB/f.u. For the energy above the most stable polymorph in this dataset, the calculation gives 4.8 kJ per mole of atoms. The energy comes out at -5.099 eV/atom.

The structure belongs to space group C2/m (No. 12); the cell edges are 18.517, 3.890 and 8.387 Å and the angles 90.00°, 102.59° and 90.00°. The asymmetric unit holds Pr at (0.138, 0.000, 0.072), Sc at (0.000, 0.500, 0.179), C at (0.000, 0.000, 0.000), I at (0.000, 0.000, 0.500), I at (0.165, 0.500, 0.794) and Br at (0.148, 0.500, 0.341).


(5)
Computed, not measured: an optimized crystal structure of GdErFe at the PBE-GGA level of DFT.

The total moment is 0.21 μB/f.u. For the energy above the most stable polymorph in this dataset, the calculation gives 0.0 kJ per mole of atoms. For the formation energy, the calculation gives 59 kJ/mol of formula units. The energy comes out at -5.640 eV/atom.

The structure belongs to space group F-43m (No. 216); the cell edges are 6.586, 6.586 and 6.586 Å and the angles 90.00°, 90.00° and 90.00°. The asymmetric unit holds Gd at (0.000, 0.000, 0.000), Er at (0.000, 0.000, 0.500) and Fe at (0.250, 0.250, 0.750).


(6)
Computed, not measured: an optimized crystal structure of WCl2 at the PBE-GGA level of DFT.

The total moment is 0.42 μB/f.u. For the energy above the most stable polymorph in this dataset, the calculation gives 181.9 kJ per mole of atoms. The energy comes out at -3.570 eV/atom.

The structure belongs to space group Fd-3m (No. 227, origin choice 2); the cell edges are 7.538, 7.538 and 7.538 Å and the angles 90.00°, 90.00° and 90.00°. The asymmetric unit holds W at (0.125, 0.125, 0.125) and Cl at (0.000, 0.000, 0.500).


(7)
Computed, not measured: an optimized crystal structure of AgBAsO at the PBE-GGA level of DFT.

For the energy above the most stable polymorph in this dataset, the calculation gives 123.5 kJ per mole of atoms. The energy comes out at -4.200 eV/atom.

The structure belongs to space group Cm (No. 8); the cell edges are 5.787, 5.788 and 7.419 Å and the angles 90.00°, 90.08° and 90.00°. The asymmetric unit holds Ag at (0.000, 0.000, 0.000), Ag at (0.000, 0.500, 0.161), B at (0.250, 0.250, 0.579), As at (0.000, 0.000, 0.468), As at (0.000, 0.500, 0.692) and O at (0.250, 0.250, 0.080).


(8)
Computed, not measured: an optimized crystal structure of AcScAu at the PBE-GGA level of DFT.

The total moment is 0.00 μB/f.u. For the energy above the most stable polymorph in this dataset, the calculation gives 65.6 kJ per mole of atoms. For the formation energy, the calculation gives 23 kJ/mol of formula units. The energy comes out at -4.489 eV/atom.

The structure belongs to space group F-43m (No. 216); the cell edges are 6.958, 6.958 and 6.958 Å and the angles 90.00°, 90.00° and 90.00°. The asymmetric unit holds Ac at (0.000, 0.000, 0.000), Sc at (0.250, 0.250, 0.250) and Au at (0.000, 0.000, 0.500).


(9)
Computed, not measured: an optimized crystal structure of KLuCoS3 at the PBE-GGA level of DFT.

The total moment is 1.89 μB/f.u. For the energy above the most stable polymorph in this dataset, the calculation gives 0.0 kJ per mole of atoms. The energy comes out at -5.494 eV/atom.

The structure belongs to space group P2_1/m (No. 11); the cell edges are 8.693, 3.818 and 9.146 Å and the angles 90.00°, 108.55° and 90.00°. The asymmetric unit holds K at (0.202, 0.250, 0.234), Lu at (0.333, 0.750, 0.857), Co at (0.077, 0.250, 0.592), S at (0.116, 0.250, 0.850), S at (0.183, 0.750, 0.537) and S at (0.459, 0.750, 0.161).


(10)
Computed, not measured: an optimized crystal structure of Li2Cd2In2CuPt at the PBE-GGA level of DFT.

The total moment is 0.00 μB/f.u. The energy comes out at -2.930 eV/atom.

The structure belongs to space group P-4m2 (No. 115); the cell edges are 4.600, 4.600 and 6.492 Å and the angles 90.00°, 90.00° and 90.00°. The asymmetric unit holds Li at (0.000, 0.000, 0.000), Li at (0.500, 0.500, 0.500), Cd at (0.000, 0.500, 0.745), In at (0.000, 0.500, 0.251), Cu at (0.000, 0.000, 0.500) and Pt at (0.500, 0.500, 0.000).


(11)
Computed, not measured: an optimized crystal structure of YSnPt at the PBE-GGA level of DFT.

The total moment is 0.01 μB/f.u. The energy comes out at -6.585 eV/atom.

The structure belongs to space group Pnma (No. 62); the cell edges are 7.197, 4.594 and 8.016 Å and the angles 90.00°, 90.00° and 90.00°. The asymmetric unit holds Y at (0.009, 0.250, 0.200), Sn at (0.184, 0.250, 0.585) and Pt at (0.213, 0.750, 0.412).


(12)
Computed, not measured: an optimized crystal structure of Tm2Lu6Te at the PBE-GGA level of DFT.

The total moment is 0.01 μB/f.u. The energy comes out at -4.634 eV/atom.

The structure belongs to space group P-62m (No. 189); the cell edges are 9.0220, 9.0220 and 3.6925 Å and the angles 90.00°, 90.00° and 120.00°. The asymmetric unit holds Tm at (0.3333, 0.6667, 0.0000), Lu at (0.0000, 0.2772, 0.0000), Lu at (0.0000, 0.6139, 0.5000) and Te at (0.0000, 0.0000, 0.5000).


(13)
Computed, not measured: an optimized crystal structure of CsFeAuSe3 at the PBE-GGA level of DFT.

The total moment is 3.51 μB/f.u. The energy comes out at -4.085 eV/atom.

The structure belongs to space group Cmcm (No. 63); the cell edges are 3.777, 16.618 and 10.317 Å and the angles 90.00°, 90.00° and 90.00°. The asymmetric unit holds Cs at (0.000, 0.244, 0.250), Fe at (0.000, 0.000, 0.000), Au at (0.000, 0.450, 0.750), Se at (0.000, 0.062, 0.750) and Se at (0.000, 0.396, 0.521).


(14)
Computed, not measured: an optimized crystal structure of Be2Co at the PBE-GGA level of DFT.

The total moment is 0.26 μB/f.u. The energy comes out at -5.127 eV/atom.

The structure belongs to space group Fd-3m (No. 227, origin choice 2); the cell edges are 5.813, 5.813 and 5.813 Å and the angles 90.00°, 90.00° and 90.00°. The asymmetric unit holds Be at (0.000, 0.000, 0.000) and Co at (0.125, 0.125, 0.625).


(15)
Computed, not measured: an optimized crystal structure of Tb2SiPd at the PBE-GGA level of DFT.

The total moment is 0.00 μB/f.u. The energy comes out at -5.791 eV/atom.

The structure belongs to space group Pmn2_1 (No. 31); the cell edges are 4.169, 7.469 and 5.779 Å and the angles 90.00°, 90.00° and 90.00°. The asymmetric unit holds Tb at (0.000, 0.065, 0.000), Tb at (0.000, 0.582, 0.762), Si at (0.000, 0.704, 0.276) and Pd at (0.000, 0.212, 0.507).


(16)
Computed, not measured: an optimized crystal structure of YFeSiW at the PBE-GGA level of DFT.

The total moment is 2.38 μB/f.u. For the energy above the most stable polymorph in this dataset, the calculation gives 0.0 kJ per mole of atoms. The energy comes out at -7.859 eV/atom.

The structure belongs to space group F-43m (No. 216); the cell edges are 6.342, 6.342 and 6.342 Å and the angles 90.00°, 90.00° and 90.00°. The asymmetric unit holds Y at (0.000, 0.000, 0.000), Fe at (0.250, 0.250, 0.750), Si at (0.000, 0.000, 0.500) and W at (0.250, 0.250, 0.250).


(17)
Computed, not measured: an optimized crystal structure of LiSiW2 at the PBE-GGA level of DFT.

The total moment is 0.00 μB/f.u. The energy comes out at -8.211 eV/atom.

The structure belongs to space group F-43m (No. 216); the cell edges are 6.107, 6.107 and 6.107 Å and the angles 90.00°, 90.00° and 90.00°. The asymmetric unit holds Li at (0.000, 0.000, 0.000), Si at (0.250, 0.250, 0.750), W at (0.000, 0.000, 0.500) and W at (0.250, 0.250, 0.250).


(18)
Computed, not measured: an optimized crystal structure of LaYP2Ir2O2 at the PBE-GGA level of DFT.

The total moment is 0.00 μB/f.u. The energy comes out at -8.204 eV/atom.

The structure belongs to space group P4mm (No. 99); the cell edges are 3.988, 3.988 and 8.277 Å and the angles 90.00°, 90.00° and 90.00°. The asymmetric unit holds La at (0.000, 0.000, 0.000), Y at (0.500, 0.500, 0.718), P at (0.000, 0.000, 0.523), P at (0.500, 0.500, 0.208), Ir at (0.000, 0.500, 0.367) and O at (0.000, 0.500, 0.848).


(19)
Computed, not measured: an optimized crystal structure of TaHgGe at the PBE-GGA level of DFT.

The total moment is 0.02 μB/f.u. For the energy above the most stable polymorph in this dataset, the calculation gives 0.0 kJ per mole of atoms. The energy comes out at -4.945 eV/atom.

The structure belongs to space group F-43m (No. 216); the cell edges are 6.442, 6.442 and 6.442 Å and the angles 90.00°, 90.00° and 90.00°. The asymmetric unit holds Ta at (0.000, 0.000, 0.000), Hg at (0.250, 0.250, 0.250) and Ge at (0.250, 0.250, 0.750).


(20)
Computed, not measured: an optimized crystal structure of PrGa6Cu6 at the PBE-GGA level of DFT.

The total moment is 0.00 μB/f.u. The energy comes out at -3.763 eV/atom.

The structure belongs to space group Immm (No. 71); the cell edges are 5.153, 8.648 and 8.821 Å and the angles 90.00°, 90.00° and 90.00°. The asymmetric unit holds Pr at (0.000, 0.000, 0.000), Ga at (0.000, 0.000, 0.350), Ga at (0.000, 0.348, 0.000), Ga at (0.000, 0.500, 0.299), Cu at (0.000, 0.266, 0.500) and Cu at (0.250, 0.250, 0.250).


(21)
Computed, not measured: an optimized crystal structure of MgScTaFe at the PBE-GGA level of DFT.

The total moment is 0.04 μB/f.u. For the energy above the most stable polymorph in this dataset, the calculation gives 0.0 kJ per mole of atoms. The energy comes out at -6.829 eV/atom.

The structure belongs to space group F-43m (No. 216); the cell edges are 6.447, 6.447 and 6.447 Å and the angles 90.00°, 90.00° and 90.00°. The asymmetric unit holds Mg at (0.000, 0.000, 0.000), Sc at (0.250, 0.250, 0.750), Ta at (0.250, 0.250, 0.250) and Fe at (0.000, 0.000, 0.500).


(22)
Computed, not measured: an optimized crystal structure of LuInBi at the PBE-GGA level of DFT.

The total moment is 0.00 μB/f.u. The energy comes out at -3.743 eV/atom.

The structure belongs to space group F-43m (No. 216); the cell edges are 7.398, 7.398 and 7.398 Å and the angles 90.00°, 90.00° and 90.00°. The asymmetric unit holds Lu at (0.000, 0.000, 0.000), In at (0.000, 0.000, 0.500) and Bi at (0.250, 0.250, 0.750).


(23)
Computed, not measured: an optimized crystal structure of LuNbRe at the PBE-GGA level of DFT.

The total moment is 0.03 μB/f.u. For the formation energy, the calculation gives 94 kJ/mol of formula units. The energy comes out at -8.688 eV/atom.

The structure belongs to space group F-43m (No. 216); the cell edges are 6.398, 6.398 and 6.398 Å and the angles 90.00°, 90.00° and 90.00°. The asymmetric unit holds Lu at (0.000, 0.000, 0.000), Nb at (0.000, 0.000, 0.500) and Re at (0.250, 0.250, 0.250).


(24)
Computed, not measured: an optimized crystal structure of YMoPt2 at the PBE-GGA level of DFT.

The total moment is 1.00 μB/f.u. For the formation energy, the calculation gives -73 kJ/mol of formula units. The energy comes out at -7.546 eV/atom.

The structure belongs to space group F-43m (No. 216); the cell edges are 6.565, 6.565 and 6.565 Å and the angles 90.00°, 90.00° and 90.00°. The asymmetric unit holds Y at (0.000, 0.000, 0.000), Mo at (0.250, 0.250, 0.750), Pt at (0.000, 0.000, 0.500) and Pt at (0.250, 0.250, 0.250).


(25)
Computed, not measured: an optimized crystal structure of Gd2CoPb at the PBE-GGA level of DFT.

The total moment is 0.01 μB/f.u. The energy comes out at -5.254 eV/atom.

The structure belongs to space group Amm2 (No. 38); the cell edges are 3.878, 4.432 and 11.636 Å and the angles 90.00°, 90.00° and 90.00°. The asymmetric unit holds Gd at (0.000, 0.000, 0.000), Gd at (0.500, 0.000, 0.303), Co at (0.500, 0.000, 0.537) and Pb at (0.000, 0.000, 0.703).


(26)
Computed, not measured: an optimized crystal structure of Tl2CoAs2S6 at the PBE-GGA level of DFT.

The total moment is 0.08 μB/f.u. The energy comes out at -4.391 eV/atom.

The structure belongs to space group P-3 (No. 147); the cell edges are 6.3770, 6.3770 and 7.2235 Å and the angles 90.00°, 90.00° and 120.00°. The asymmetric unit holds Tl at (0.3333, 0.6667, 0.0936), Co at (0.0000, 0.0000, 0.5000), As at (0.3333, 0.6667, 0.5378) and S at (0.0958, 0.3159, 0.6957).